[1]
# ZnCo3Br9 PBE-GGA optimized geometry
data_ZnCo3Br9
_chemical_formula_sum 'Zn2 Co6 Br18'
_symmetry_space_group_name_H-M 'P 1'
_symmetry_Int_Tables_number 1
_cell_length_a 11.296
_cell_length_b 9.648
_cell_length_c 12.242
_cell_angle_alpha 72.25
_cell_angle_beta 62.52
_cell_angle_gamma 54.17
loop_
_symmetry_equiv_pos_as_xyz
'x,y,z'
loop_
_atom_site_label
_atom_site_fract_x
_atom_site_fract_y
_atom_site_fract_z
_atom_site_occupancy
Zn1 0.830 0.553 0.002 1
Zn2 0.615 0.053 0.502 1
Co1 0.851 0.557 0.650 1
Co2 0.942 0.057 0.150 1
Co3 0.968 0.898 0.868 1
Co4 0.266 0.398 0.368 1
Co5 0.673 0.287 0.692 1
Co6 0.348 0.787 0.192 1
Br1 0.423 0.103 0.429 1
Br2 0.044 0.603 0.929 1
Br3 0.486 0.447 0.858 1
Br4 0.208 0.947 0.358 1
Br5 0.181 0.917 0.742 1
Br6 0.160 0.417 0.242 1
Br7 0.576 0.816 0.070 1
Br8 0.538 0.316 0.570 1
Br9 0.880 0.915 0.346 1
Br10 0.858 0.415 0.846 1
Br11 0.614 0.834 0.673 1
Br12 0.878 0.334 0.173 1
Br13 0.450 0.490 0.250 1
Br14 0.810 0.990 0.750 1
Br15 0.858 0.371 0.551 1
Br16 0.219 0.871 0.051 1
Br17 0.802 0.066 0.046 1
Br18 0.085 0.566 0.546 1
# Space-group type ... Cc (9)
# ρ ... 3.3 g/cm3
# ΔE_f (raw) ... -390 meV/atom

[2]
# KTcW2 PBE-GGA optimized geometry
data_KTcW2
_chemical_formula_sum 'K1 Tc1 W2'
_symmetry_space_group_name_H-M 'P 1'
_symmetry_Int_Tables_number 1
_cell_length_a 4.070
_cell_length_b 2.844
_cell_length_c 8.145
_cell_angle_alpha 80.57
_cell_angle_beta 90.00
_cell_angle_gamma 90.00
loop_
_symmetry_equiv_pos_as_xyz
'x,y,z'
loop_
_atom_site_label
_atom_site_fract_x
_atom_site_fract_y
_atom_site_fract_z
_atom_site_occupancy
K1 0.500 0.250 0.250 1
Tc1 0.500 0.750 0.750 1
W1 0.000 0.087 0.896 1
W2 0.000 0.413 0.604 1
# Space-group type ... P2/m (10)
# ρ ... 9.0 g/cm3
# Energy relative to the elements ... 0.946 eV/atom

[3]
# MgOs2Br PBE-GGA optimized geometry
data_MgOs2Br
_chemical_formula_sum 'Mg1 Os2 Br1'
_symmetry_space_group_name_H-M 'P 1'
_symmetry_Int_Tables_number 1
_cell_length_a 4.548
_cell_length_b 4.548
_cell_length_c 4.548
_cell_angle_alpha 60.00
_cell_angle_beta 60.00
_cell_angle_gamma 60.00
loop_
_symmetry_equiv_pos_as_xyz
'x,y,z'
loop_
_atom_site_label
_atom_site_fract_x
_atom_site_fract_y
_atom_site_fract_z
_atom_site_occupancy
Br1 0.500 0.500 0.500 1
Mg1 0.750 0.750 0.750 1
Os1 0.000 0.000 0.000 1
Os2 0.250 0.250 0.250 1
# Space-group type ... F-43m (216)
# ρ ... 12.1 g/cm3
# ΔE_f (raw) ... 1103 meV/atom

[4]
# Pr2EuPb PBE-GGA optimized geometry
data_Pr2EuPb
_chemical_formula_sum 'Pr2 Eu1 Pb1'
_symmetry_space_group_name_H-M 'P 1'
_symmetry_Int_Tables_number 1
_cell_length_a 4.978
_cell_length_b 5.099
_cell_length_c 5.099
_cell_angle_alpha 90.00
_cell_angle_beta 90.00
_cell_angle_gamma 90.00
loop_
_symmetry_equiv_pos_as_xyz
'x,y,z'
loop_
_atom_site_label
_atom_site_fract_x
_atom_site_fract_y
_atom_site_fract_z
_atom_site_occupancy
Pb1 0.500 0.000 0.000 1
Eu1 0.500 0.500 0.500 1
Pr1 0.000 0.000 0.500 1
Pr2 0.000 0.500 0.000 1
# Space-group type ... P4/mmm (123)
# ρ ... 8.2 g/cm3
# Energy relative to the elements ... -0.321 eV/atom

[5]
# Y3In PBE-GGA optimized geometry
data_Y3In
_chemical_formula_sum 'Y3 In1'
_symmetry_space_group_name_H-M 'P 1'
_symmetry_Int_Tables_number 1
_cell_length_a 4.751
_cell_length_b 3.640
_cell_length_c 7.704
_cell_angle_alpha 61.96
_cell_angle_beta 90.00
_cell_angle_gamma 90.00
loop_
_symmetry_equiv_pos_as_xyz
'x,y,z'
loop_
_atom_site_label
_atom_site_fract_x
_atom_site_fract_y
_atom_site_fract_z
_atom_site_occupancy
Y1 0.500 0.745 0.757 1
Y2 0.000 0.500 0.500 1
Y3 0.500 0.255 0.243 1
In1 0.000 0.000 0.000 1
# Space-group type ... P2/m (10)
# ρ ... 5.4 g/cm3
# Energy relative to the elements ... -0.214 eV/atom

[6]
# Sr3Mg4Hg4 PBE-GGA optimized geometry
data_Sr3Mg4Hg4
_chemical_formula_sum 'Sr3 Mg4 Hg4'
_symmetry_space_group_name_H-M 'P 1'
_symmetry_Int_Tables_number 1
_cell_length_a 4.617
_cell_length_b 8.425
_cell_length_c 9.356
_cell_angle_alpha 116.76
_cell_angle_beta 104.28
_cell_angle_gamma 90.00
loop_
_symmetry_equiv_pos_as_xyz
'x,y,z'
loop_
_atom_site_label
_atom_site_fract_x
_atom_site_fract_y
_atom_site_fract_z
_atom_site_occupancy
Sr1 0.121 0.121 0.242 1
Sr2 0.879 0.879 0.758 1
Sr3 0.000 0.500 0.000 1
Mg1 0.324 0.135 0.648 1
Mg2 0.676 0.486 0.352 1
Mg3 0.676 0.865 0.352 1
Mg4 0.324 0.514 0.648 1
Hg1 0.224 0.724 0.447 1
Hg2 0.776 0.276 0.553 1
Hg3 0.500 0.801 0.000 1
Hg4 0.500 0.199 0.000 1
# Space-group type ... Immm (71)
# ρ ... 6.2 g/cm3
# Energy relative to the elements ... -0.374 eV/atom

[7]
# Cs3CeU2S6 PBE-GGA optimized geometry
data_Cs3CeU2S6
_chemical_formula_sum 'Cs3 Ce1 U2 S6'
_symmetry_space_group_name_H-M 'P 1'
_symmetry_Int_Tables_number 1
_cell_length_a 7.181
_cell_length_b 7.181
_cell_length_c 8.465
_cell_angle_alpha 98.13
_cell_angle_beta 98.13
_cell_angle_gamma 120.00
loop_
_symmetry_equiv_pos_as_xyz
'x,y,z'
loop_
_atom_site_label
_atom_site_fract_x
_atom_site_fract_y
_atom_site_fract_z
_atom_site_occupancy
Cs1 0.165 0.835 0.500 1
Cs2 0.835 0.165 0.500 1
Cs3 0.500 0.500 0.500 1
Ce1 0.000 0.000 0.000 1
U1 0.333 0.667 0.000 1
U2 0.667 0.333 0.000 1
S1 0.939 0.596 0.816 1
S2 0.718 0.718 0.183 1
S3 0.061 0.404 0.184 1
S4 0.596 0.939 0.816 1
S5 0.282 0.282 0.817 1
S6 0.404 0.061 0.184 1
# Space-group type ... C2/m (12)
# ρ ... 5.5 g/cm3
# ΔE_f (raw) ... -1475 meV/atom

[8]
# Tm2Zr3Si4 PBE-GGA optimized geometry
data_Tm2Zr3Si4
_chemical_formula_sum 'Tm4 Zr6 Si8'
_symmetry_space_group_name_H-M 'P 1'
_symmetry_Int_Tables_number 1
_cell_length_a 7.080
_cell_length_b 7.285
_cell_length_c 7.293
_cell_angle_alpha 90.00
_cell_angle_beta 90.00
_cell_angle_gamma 108.06
loop_
_symmetry_equiv_pos_as_xyz
'x,y,z'
loop_
_atom_site_label
_atom_site_fract_x
_atom_site_fract_y
_atom_site_fract_z
_atom_site_occupancy
Tm1 0.575 0.193 0.327 1
Tm2 0.925 0.807 0.827 1
Tm3 0.425 0.807 0.673 1
Tm4 0.075 0.193 0.173 1
Zr1 0.000 0.500 0.500 1
Zr2 0.500 0.500 0.000 1
Zr3 0.749 0.251 0.818 1
Zr4 0.751 0.749 0.318 1
Zr5 0.251 0.749 0.182 1
Zr6 0.249 0.251 0.682 1
Si1 0.870 0.081 0.530 1
Si2 0.630 0.919 0.030 1
Si3 0.130 0.919 0.470 1
Si4 0.370 0.081 0.970 1
Si5 0.872 0.490 0.123 1
Si6 0.628 0.510 0.623 1
Si7 0.128 0.510 0.877 1
Si8 0.372 0.490 0.377 1
# Space-group type ... P2_1/c (14)
# ρ ... 6.7 g/cm3
# ΔE_f (raw) ... -875 meV/atom

[9]
# La6Hg2Pd PBE-GGA optimized geometry
data_La6Hg2Pd
_chemical_formula_sum 'La6 Hg2 Pd1'
_symmetry_space_group_name_H-M 'P 1'
_symmetry_Int_Tables_number 1
_cell_length_a 3.888
_cell_length_b 9.085
_cell_length_c 9.085
_cell_angle_alpha 120.01
_cell_angle_beta 90.00
_cell_angle_gamma 90.00
loop_
_symmetry_equiv_pos_as_xyz
'x,y,z'
loop_
_atom_site_label
_atom_site_fract_x
_atom_site_fract_y
_atom_site_fract_z
_atom_site_occupancy
La1 0.500 0.404 0.404 1
La2 0.500 0.596 0.000 1
La3 0.500 0.000 0.596 1
La4 0.000 0.750 0.750 1
La5 0.000 0.250 0.000 1
La6 0.000 0.000 0.250 1
Hg1 0.000 0.667 0.334 1
Hg2 0.000 0.334 0.667 1
Pd1 0.500 0.000 0.000 1
# Space-group type ... P-62m (189)
# ρ ... 8.0 g/cm3
# Energy relative to the elements ... -0.419 eV/atom

[10]
# RbAsIrSe2 PBE-GGA optimized geometry
data_RbAsIrSe2
_chemical_formula_sum 'Rb1 As1 Ir1 Se2'
_symmetry_space_group_name_H-M 'P 1'
_symmetry_Int_Tables_number 1
_cell_length_a 5.650
_cell_length_b 5.650
_cell_length_c 5.583
_cell_angle_alpha 90.00
_cell_angle_beta 90.00
_cell_angle_gamma 90.00
loop_
_symmetry_equiv_pos_as_xyz
'x,y,z'
loop_
_atom_site_label
_atom_site_fract_x
_atom_site_fract_y
_atom_site_fract_z
_atom_site_occupancy
As1 0.000 0.000 0.500 1
Ir1 0.500 0.500 0.500 1
Se1 0.000 0.500 0.000 1
Se2 0.500 0.000 0.000 1
Rb1 0.000 0.000 0.000 1
# Space-group type ... P4/mmm (123)
# ρ ... 4.8 g/cm3
# ΔE_f (raw) ... 2292 meV/atom

[11]
# TaTc2Se PBE-GGA optimized geometry
data_TaTc2Se
_chemical_formula_sum 'Ta2 Tc4 Se2'
_symmetry_space_group_name_H-M 'P 1'
_symmetry_Int_Tables_number 1
_cell_length_a 5.974
_cell_length_b 5.974
_cell_length_c 6.509
_cell_angle_alpha 62.68
_cell_angle_beta 62.68
_cell_angle_gamma 90.00
loop_
_symmetry_equiv_pos_as_xyz
'x,y,z'
loop_
_atom_site_label
_atom_site_fract_x
_atom_site_fract_y
_atom_site_fract_z
_atom_site_occupancy
Tc1 0.606 0.125 0.250 1
Tc2 0.144 0.625 0.250 1
Tc3 0.375 0.394 0.750 1
Tc4 0.875 0.856 0.750 1
Se1 0.500 0.500 0.000 1
Se2 0.250 0.750 0.500 1
Ta1 0.000 0.000 0.000 1
Ta2 0.750 0.250 0.500 1
# Space-group type ... I-42d (122)
# ρ ... 8.6 g/cm3
# ΔE_f (raw) ... 869 meV/atom

[12]
# Y6GaTc2 PBE-GGA optimized geometry
data_Y6GaTc2
_chemical_formula_sum 'Y12 Ga2 Tc4'
_symmetry_space_group_name_H-M 'P 1'
_symmetry_Int_Tables_number 1
_cell_length_a 8.481
_cell_length_b 8.481
_cell_length_c 8.481
_cell_angle_alpha 104.65
_cell_angle_beta 112.21
_cell_angle_gamma 111.66
loop_
_symmetry_equiv_pos_as_xyz
'x,y,z'
loop_
_atom_site_label
_atom_site_fract_x
_atom_site_fract_y
_atom_site_fract_z
_atom_site_occupancy
Y1 0.545 0.727 0.818 1
Y2 0.455 0.273 0.182 1
Y3 0.091 0.273 0.818 1
Y4 0.909 0.727 0.182 1
Y5 0.804 0.751 0.555 1
Y6 0.196 0.249 0.445 1
Y7 0.196 0.751 0.948 1
Y8 0.804 0.249 0.052 1
Y9 0.686 0.353 0.667 1
Y10 0.314 0.647 0.333 1
Y11 0.314 0.980 0.667 1
Y12 0.686 0.020 0.333 1
Ga1 0.000 0.500 0.500 1
Ga2 0.000 0.000 0.000 1
Tc1 0.500 0.387 0.887 1
Tc2 0.500 0.613 0.113 1
Tc3 0.681 0.000 0.681 1
Tc4 0.319 0.000 0.319 1
# Space-group type ... Immm (71)
# ρ ... 5.7 g/cm3
# Energy relative to the elements ... -0.195 eV/atom